First-principles (PBE with a Hubbard U) data for a relaxed structure of PrV2IO9, as listed in Alexandria.

Cell and atoms, written as CIF:
```
data_PrV2IO9
_cell_length_a 7.123
_cell_length_b 14.731
_cell_length_c 7.344
_cell_angle_alpha 90.00
_cell_angle_beta 90.00
_cell_angle_gamma 90.00
_space_group_name_H-M_alt 'P 1'
_space_group_IT_number 1
_space_group_name_Hall 'P 1'
loop_
_atom_site_label
_atom_site_fract_x
_atom_site_fract_y
_atom_site_fract_z
Pr1 0.150 0.047 0.250
Pr2 0.150 0.453 0.750
Pr3 0.850 0.547 0.250
Pr4 0.850 0.953 0.750
V1 0.182 0.729 0.750
V2 0.182 0.771 0.250
V3 0.464 0.250 0.000
V4 0.464 0.250 0.500
V5 0.536 0.750 0.000
V6 0.536 0.750 0.500
V7 0.818 0.229 0.750
V8 0.818 0.271 0.250
I1 0.297 0.056 0.750
I2 0.297 0.444 0.250
I3 0.703 0.556 0.750
I4 0.703 0.944 0.250
O1 0.012 0.692 0.250
O2 0.012 0.808 0.750
O3 0.083 0.626 0.750
O4 0.083 0.874 0.250
O5 0.173 0.509 0.071
O6 0.173 0.509 0.429
O7 0.173 0.991 0.571
O8 0.173 0.991 0.929
O9 0.261 0.750 0.000
O10 0.261 0.750 0.500
O11 0.330 0.157 0.042
O12 0.330 0.157 0.458
O13 0.330 0.343 0.542
O14 0.330 0.343 0.958
O15 0.469 0.722 0.750
O16 0.469 0.778 0.250
O17 0.476 0.502 0.750
O18 0.476 0.998 0.250
O19 0.524 0.002 0.750
O20 0.524 0.498 0.250
O21 0.531 0.222 0.750
O22 0.531 0.278 0.250
O23 0.670 0.657 0.042
O24 0.670 0.657 0.458
O25 0.670 0.843 0.542
O26 0.670 0.843 0.958
O27 0.739 0.250 0.000
O28 0.739 0.250 0.500
O29 0.827 0.009 0.071
O30 0.827 0.009 0.429
O31 0.827 0.491 0.571
O32 0.827 0.491 0.929
O33 0.917 0.126 0.750
O34 0.917 0.374 0.250
O35 0.988 0.192 0.250
O36 0.988 0.308 0.750
```

Space-group type = Pbcm
Uncorrected energy = -6.873 eV per atom